No. 1
ScCBr2 (PBE-GGA, relaxed); distance to the lowest polymorph of the same formula = 44 meV per atom; volume = 19.89 Å³/atom; SG = Fm-3m
1.0
0.000 3.414 3.414
3.414 0.000 3.414
3.414 3.414 0.000
Sc C Br
1 1 2
Cartesian
3.414 3.414 3.414 Sc
0.000 0.000 0.000 C
1.707 1.707 1.707 Br
5.121 5.121 5.121 Br

=====

No. 2
RbTiBr4 (PBE-GGA, relaxed); distance to the lowest polymorph of the same formula = 39 meV per atom; volume = 34.65 Å³/atom; SG = Cmcm
1.0
-0.808 -4.606 -2.384
6.641 0.646 -3.500
5.099 -2.657 9.184
Rb Ti Br
2 2 8
Cartesian
8.732 -3.479 3.761 Rb
2.200 -3.138 -0.461 Rb
5.889 -0.475 -1.078 Ti
5.042 -6.142 4.379 Ti
5.000 -1.402 1.013 Br
5.931 -5.215 2.287 Br
8.234 -1.087 -0.691 Br
2.697 -5.530 3.992 Br
5.345 -2.630 -2.509 Br
5.586 -3.987 5.809 Br
3.320 0.323 -1.750 Br
0.000 0.000 0.000 Br

=====

No. 3
SrBiPt2Pb (PBE-GGA, relaxed); energy of formation from the pure elements = 0.399 eV per atom; volume = 32.19 Å³/atom; SG = P4/mmm
1.0
5.181 0.000 0.000
0.000 5.997 0.000
0.000 0.000 5.181
Pb Sr Bi Pt
1 1 1 2
Cartesian
2.590 2.998 2.590 Pb
0.000 2.998 0.000 Sr
0.000 0.000 0.000 Bi
0.000 0.000 2.590 Pt
2.590 0.000 0.000 Pt

=====

No. 4
VSbAs2 (PBE-GGA, relaxed); volume = 19.76 Å³/atom; SG = R3m; E = -22.432 eV/cell
1.0
3.488 0.000 0.000
1.744 3.021 0.000
1.744 1.007 7.501
V Sb As
1 1 2
Cartesian
3.488 2.014 0.030 V
3.488 2.014 3.666 Sb
1.744 1.007 5.991 As
1.744 1.007 1.564 As

=====

No. 5
BaBeFe (PBE-GGA, relaxed); distance to the lowest polymorph of the same formula = 0 meV per atom; energy of formation from the pure elements = 0.599 eV per atom; volume = 20.31 Å³/atom; SG = I4mm
1.0
-5.843 1.136 -1.432
-3.810 -1.715 -4.474
4.161 -1.535 4.219
Be Ba Fe
1 1 1
Cartesian
-2.554 -0.153 -1.563 Be
-0.007 0.000 -0.004 Ba
-7.092 -0.426 -4.339 Fe

=====

No. 6
Hf2Nb2Tc (PBE-GGA, relaxed); distance to the lowest polymorph of the same formula = 196 meV per atom; energy of formation from the pure elements = -0.005 eV per atom; volume = 19.42 Å³/atom; SG = C2/m
1.0
6.197 0.000 0.052
3.099 4.454 0.026
2.693 0.000 7.058
Hf Nb Tc
4 4 2
Cartesian
7.083 1.655 5.081 Hf
4.906 2.799 2.056 Hf
3.984 2.799 5.055 Hf
8.005 1.655 2.082 Hf
5.679 0.000 2.993 Nb
4.129 0.000 0.823 Nb
4.761 0.000 6.287 Nb
3.211 0.000 4.117 Nb
3.099 2.936 0.026 Tc
6.197 1.517 0.052 Tc

=====

No. 7
PaHgTe2 (PBE-GGA, relaxed); distance to the lowest polymorph of the same formula = 189 meV per atom; volume = 27.89 Å³/atom; SG = Fm-3m
1.0
5.404 0.000 0.000
2.702 4.680 0.000
2.702 1.560 4.412
Pa Hg Te
1 1 2
Cartesian
0.000 0.000 0.000 Pa
5.404 3.120 2.206 Hg
2.702 1.560 1.103 Te
8.106 4.680 3.309 Te

=====

No. 8
Dy2Al3Zn4Hg (PBE-GGA, relaxed); energy of formation from the pure elements = -0.311 eV per atom; volume = 19.27 Å³/atom; SG = P-4m2
1.0
-0.484 -0.821 -4.102
-3.411 -2.314 0.866
-6.250 8.829 -1.030
Dy Al Zn Hg
2 3 4 1
Cartesian
-1.738 1.702 -2.298 Dy
-6.460 5.559 -0.350 Dy
-3.125 4.414 -0.515 Al
-5.673 7.261 -2.946 Al
-2.525 0.000 0.298 Al
-1.948 -1.568 -1.618 Zn
0.000 0.000 0.000 Zn
-4.290 5.307 -2.718 Zn
-3.907 1.954 0.070 Zn
-5.073 2.847 -2.133 Hg

=====

No. 9
LiSiHg (PBE-GGA, relaxed); distance to the lowest polymorph of the same formula = 253 meV per atom; volume = 18.30 Å³/atom; SG = P3m1
1.0
3.058 0.000 0.000
-1.529 2.649 0.000
0.000 0.000 6.777
Hg Li Si
1 1 1
Cartesian
0.000 0.000 0.074 Hg
1.529 0.883 2.310 Li
0.000 1.766 4.392 Si

=====

No. 10
Ba2PuCu2S6 (PBE-GGA, relaxed); volume = 25.66 Å³/atom; SG = R-3m; E = -63.496 eV/cell
1.0
-4.204 0.427 -5.875
-4.297 -5.543 -1.785
-7.407 0.729 0.896
Ba Pu Cu S
2 1 2 6
Cartesian
-11.634 -3.448 -5.297 Ba
-4.274 -0.939 -1.467 Ba
0.000 0.000 0.000 Pu
-8.997 -1.638 -2.596 Cu
-6.911 -2.748 -4.169 Cu
-8.336 -3.665 -5.540 S
-6.144 -3.888 -2.477 S
-6.096 -0.776 -4.609 S
-9.812 -3.611 -2.155 S
-9.764 -0.499 -4.288 S
-7.572 -0.721 -1.225 S

=====

No. 11
Pm2NdSm3Te6 (PBE-GGA, relaxed); volume = 31.38 Å³/atom; SG = C2/m; E = -64.060 eV/cell
1.0
4.441 0.000 0.000
0.000 8.959 0.331
-2.221 -2.569 9.368
Pm Nd Sm Te
2 1 3 6
Cartesian
2.221 4.265 6.474 Pm
0.000 2.125 3.226 Pm
2.221 0.000 0.000 Nd
2.221 4.480 0.166 Sm
2.221 -0.221 6.316 Sm
0.000 6.611 3.384 Sm
0.000 6.515 6.524 Te
2.221 4.379 3.312 Te
2.221 -0.124 3.176 Te
2.221 -0.302 9.448 Te
0.000 6.692 0.251 Te
0.000 2.011 6.387 Te

=====

No. 12
Na2YInBi2 (PBE-GGA, relaxed); energy of formation from the pure elements = -0.359 eV per atom; volume = 29.05 Å³/atom; SG = Pmc2_1
1.0
-0.001 4.880 0.597
-2.299 -0.803 6.555
9.578 -0.404 3.309
Na Y In Bi
4 2 2 4
Cartesian
0.000 2.409 0.554 Na
0.796 -0.301 2.462 Na
8.268 1.610 7.086 Na
6.264 -0.982 8.026 Na
2.403 -0.988 8.076 Y
3.793 -0.597 4.881 Y
5.781 2.009 3.828 In
1.689 1.731 6.088 In
7.253 -0.559 4.576 Bi
2.703 2.112 2.978 Bi
-0.119 -0.698 5.704 Bi
4.633 1.581 7.320 Bi

=====

No. 13
AgSnB (PBE-GGA, relaxed); energy of formation from the pure elements = 0.335 eV per atom; volume = 18.63 Å³/atom; SG = Pnma
1.0
-2.773 11.205 0.833
-1.063 -0.483 2.960
5.534 1.207 2.184
B Sn Ag
4 4 4
Cartesian
0.000 0.000 0.000 B
0.849 5.965 2.988 B
1.381 6.206 1.508 B
-0.531 -0.241 1.480 B
0.133 3.850 1.531 Sn
2.805 2.445 3.972 Sn
1.566 8.079 4.446 Sn
-1.107 9.485 2.005 Sn
-1.107 6.634 1.540 Ag
0.228 10.638 4.383 Ag
2.805 5.296 4.436 Ag
1.471 1.291 1.594 Ag

=====

No. 14
La2TbTm5Th (PBE-GGA, relaxed); energy of formation from the pure elements = 0.166 eV per atom; volume = 33.33 Å³/atom; SG = Cmc2_1
1.0
-3.230 -3.663 2.741
8.541 0.867 5.503
-4.484 8.195 5.668
La Tb Tm Th
4 2 10 2
Cartesian
0.043 4.119 11.277 La
-1.707 5.795 5.733 La
0.187 2.370 3.388 La
2.677 -0.657 7.998 La
0.224 1.756 8.331 Tb
2.776 -0.329 2.833 Tb
5.362 -0.595 5.524 Tm
-2.223 4.355 8.922 Tm
3.361 5.111 10.792 Tm
0.969 5.236 8.139 Tm
2.732 1.573 11.042 Tm
-2.473 2.225 5.780 Tm
2.548 1.962 5.625 Tm
-2.417 0.074 2.972 Tm
0.222 -0.502 5.312 Tm
0.071 0.214 0.371 Tm
-4.805 5.907 7.953 Th
3.717 2.992 8.379 Th

=====

No. 15
CaTlOs2 (PBE-GGA, relaxed); distance to the lowest polymorph of the same formula = 0 meV per atom; energy of formation from the pure elements = 0.297 eV per atom; volume = 19.46 Å³/atom; SG = P4mm
1.0
-2.695 -1.306 -0.071
1.091 -2.336 1.525
-2.085 3.897 7.463
Tl Os Ca
1 2 1
Cartesian
-0.980 1.832 3.508 Tl
-0.081 0.152 0.290 Os
-1.244 -0.995 2.308 Os
-2.426 1.215 6.541 Ca

=====

No. 16
La2Tb2Bi2C (PBE-GGA, relaxed); energy of formation from the pure elements = -0.741 eV per atom; volume = 29.13 Å³/atom; SG = I4/mmm
1.0
4.924 0.000 0.000
0.000 4.924 0.000
-2.462 -2.462 8.410
La Tb Bi C
2 2 2 1
Cartesian
0.000 0.000 2.673 La
2.462 2.462 5.737 La
0.000 2.462 0.000 Tb
2.462 0.000 0.000 Tb
0.000 0.000 6.112 Bi
2.462 2.462 2.298 Bi
0.000 0.000 0.000 C

=====

No. 17
CdInI2 (PBE-GGA, relaxed); distance to the lowest polymorph of the same formula = 6 meV per atom; volume = 37.92 Å³/atom; SG = R3m
1.0
4.482 0.000 0.000
2.241 3.881 0.000
2.241 1.294 8.720
Cd In I
1 1 2
Cartesian
4.482 2.588 4.367 Cd
6.723 3.881 8.706 In
2.241 1.294 6.466 I
2.241 1.294 2.259 I

=====

No. 18
La4NdY2Mg (PBE-GGA, relaxed); energy of formation from the pure elements = 0.294 eV per atom; volume = 34.78 Å³/atom; SG = Imma
1.0
9.475 -0.017 -1.805
-0.023 9.476 -1.804
-6.002 -6.007 8.489
La Nd Y Mg
8 2 4 2
Cartesian
-3.753 1.125 6.634 La
4.070 -0.545 2.491 La
-0.621 3.997 2.389 La
7.203 2.327 -1.754 La
1.182 1.125 5.693 La
4.051 3.996 1.628 La
-0.601 -0.543 3.252 La
2.268 2.328 -0.812 La
-0.011 4.738 -0.902 Nd
6.462 1.718 1.538 Nd
4.737 -0.008 -0.902 Y
1.714 6.464 1.538 Y
-3.001 -3.004 4.245 Y
4.726 4.729 -1.804 Y
1.725 1.726 2.440 Mg
3.450 3.453 4.880 Mg

=====

No. 19
Ba2AcDyS4 (PBE-GGA, relaxed); volume = 28.43 Å³/atom; SG = P2/m; E = -45.090 eV/cell
1.0
-3.250 2.313 -1.526
-4.696 -5.460 1.727
0.567 4.711 5.933
Ba Ac Dy S
2 1 1 4
Cartesian
-1.342 3.512 2.204 Ba
-2.065 -0.375 3.830 Ba
-3.973 -1.574 0.101 Ac
0.000 0.000 0.000 Dy
-2.553 0.946 0.894 S
-4.827 0.617 5.241 S
-0.696 2.341 5.031 S
-3.434 -3.091 2.630 S

=====

No. 20
RbAcMnI6 (PBE-GGA, relaxed); volume = 50.70 Å³/atom; SG = P-31c; E = -67.772 eV/cell
1.0
8.065 0.000 0.000
-4.032 6.984 0.000
0.000 0.000 16.201
Rb Ac Mn I
2 2 2 12
Cartesian
0.000 0.000 0.000 Rb
0.000 0.000 8.101 Rb
0.000 4.656 4.050 Ac
4.032 2.328 12.151 Ac
4.032 2.328 4.050 Mn
0.000 4.656 12.151 Mn
2.743 4.304 2.294 I
6.388 2.456 2.294 I
-1.067 6.761 10.394 I
-2.356 4.528 13.908 I
1.676 2.456 5.807 I
5.321 4.304 5.807 I
1.067 6.761 13.908 I
5.099 0.224 5.807 I
-1.289 2.680 10.394 I
2.965 0.224 2.294 I
2.356 4.528 10.394 I
1.289 2.680 13.908 I

=====

No. 21
Al2TeSe (PBE-GGA, relaxed); distance to the lowest polymorph of the same formula = 301 meV per atom; volume = 24.58 Å³/atom; SG = Cmm2
1.0
3.342 0.046 0.000
-1.263 3.095 0.000
0.000 0.000 9.452
Te Al Se
1 2 1
Cartesian
1.040 1.570 7.636 Te
0.000 0.000 0.263 Al
1.040 1.570 2.372 Al
0.000 0.000 3.908 Se

=====

No. 22
LiHoPaRe (PBE-GGA, relaxed); energy of formation from the pure elements = 0.091 eV per atom; volume = 20.85 Å³/atom; SG = F-43m
1.0
-4.392 2.085 -0.648
-3.986 -1.990 2.051
-2.218 2.259 3.745
Re Pa Ho Li
1 1 1 1
Cartesian
0.000 0.000 0.000 Re
-7.947 1.765 3.861 Pa
-2.649 0.588 1.287 Ho
-5.298 1.177 2.574 Li

=====

No. 23
ZrIn (PBE-GGA, relaxed); energy of formation from the pure elements = -0.164 eV per atom; volume = 23.10 Å³/atom; SG = R-3m
1.0
5.438 -0.007 -0.004
4.482 3.080 -0.004
4.482 1.388 2.749
In Zr
1 1
Cartesian
0.000 0.000 0.000 In
7.201 2.230 1.370 Zr

=====

| no. | total moment (Bohr magnetons per cell) |
| --- | --- |
| 1 | 3.0 |
| 2 | 2.0 |
| 3 | 0.0 |
| 4 | 0.4 |
| 5 | 1.8 |
| 6 | 0.0 |
| 7 | 1.0 |
| 8 | 0.0 |
| 9 | 0.0 |
| 10 | 1.9 |
| 11 | 0.0 |
| 12 | 0.0 |
| 13 | 0.0 |
| 14 | 0.0 |
| 15 | 0.0 |
| 16 | 0.1 |
| 17 | 0.0 |
| 18 | 0.0 |
| 19 | 0.0 |
| 20 | 10.0 |
| 21 | 0.0 |
| 22 | 0.0 |
| 23 | 0.0 |